ZrInSi2B PBE optimized geometry; SG = No. 123; D(E_F) = 3.3 states/eV/cell; E_form (uncorrected) = 1413 meV/atom
1.0
5.1523 0.0000 0.0000
0.0000 5.1523 0.0000
0.0000 0.0000 4.0582
Zr In Si B
1 1 2 1
Direct
0.0000 0.0000 0.0000 Zr
0.5000 0.5000 0.5000 In
0.0000 0.5000 0.5000 Si
0.5000 0.0000 0.5000 Si
0.5000 0.5000 0.0000 B

***

Be2P PBE optimized geometry; formation energy from the elements = 0.17 eV/atom; SG = No. 141; D(E_F) = 2.3 states/eV/cell; energy relative to the lowest polymorph listed for this composition = 311 meV/atom
1.0
-1.6263 1.6263 13.0718
1.6263 -1.6263 13.0718
1.6263 1.6263 -13.0718
Be P
8 4
Direct
0.1246 0.3746 0.7500 Be
0.3122 0.5622 0.7500 Be
0.3746 0.1246 0.2500 Be
0.4378 0.6878 0.7500 Be
0.5622 0.3122 0.2500 Be
0.6254 0.8754 0.7500 Be
0.6878 0.4378 0.2500 Be
0.8754 0.6254 0.2500 Be
0.0583 0.8083 0.2500 P
0.1917 0.9417 0.2500 P
0.8083 0.0583 0.7500 P
0.9417 0.1917 0.7500 P

***

Ti2InPd PBE optimized geometry; formation energy from the elements = -0.33 eV/atom; SG = No. 123; D(E_F) = 4.6 states/eV/cell
1.0
4.0220 0.0000 0.0000
0.0000 4.0220 0.0000
0.0000 0.0000 4.2650
Ti In Pd
2 1 1
Direct
0.0000 0.5000 0.0000 Ti
0.5000 0.0000 0.0000 Ti
0.0000 0.0000 0.5000 In
0.5000 0.5000 0.5000 Pd

***

Bi5As2Pd12 PBE optimized geometry; formation energy from the elements = -0.23 eV/atom; SG = No. 12; D(E_F) = 9.1 states/eV/cell
1.0
7.5923 -3.5710 0.0000
7.5923 3.5710 0.0000
-0.7670 0.0000 6.8167
Bi As Pd
5 2 12
Direct
0.0000 0.0000 0.0000 Bi
0.1975 0.1975 0.2518 Bi
0.2595 0.2595 0.7891 Bi
0.7405 0.7405 0.2109 Bi
0.8025 0.8025 0.7482 Bi
0.2943 0.7057 0.5000 As
0.7057 0.2943 0.5000 As
0.0731 0.0731 0.6479 Pd
0.1436 0.5333 0.4876 Pd
0.1710 0.5775 0.0785 Pd
0.4225 0.8290 0.9215 Pd
0.4664 0.4664 0.7872 Pd
0.4667 0.8564 0.5124 Pd
0.5333 0.1436 0.4876 Pd
0.5336 0.5336 0.2128 Pd
0.5775 0.1710 0.0785 Pd
0.8290 0.4225 0.9215 Pd
0.8564 0.4667 0.5124 Pd
0.9269 0.9269 0.3521 Pd

***

YEr2Te4 PBE optimized geometry; SG = No. 12; D(E_F) = 3.2 states/eV/cell; energy relative to the lowest polymorph listed for this composition = 0 meV/atom; E_form (uncorrected) = -1374 meV/atom
1.0
8.1052 -2.1629 0.0000
8.1052 2.1629 0.0000
-3.4554 0.0000 6.6945
Y Er Te
1 2 4
Direct
0.0000 0.0000 0.0000 Y
0.2556 0.2556 0.2705 Er
0.7444 0.7444 0.7295 Er
0.1214 0.1214 0.4544 Te
0.3694 0.3694 0.0326 Te
0.6306 0.6306 0.9674 Te
0.8786 0.8786 0.5456 Te

***

Li2SiSe PBE optimized geometry; SG = No. 44; D(E_F) = 1.4 states/eV/cell; energy relative to the lowest polymorph listed for this composition = 130 meV/atom; E_form (uncorrected) = -345 meV/atom
1.0
-1.6791 2.0215 5.2205
1.6791 -2.0215 5.2205
1.6791 2.0215 -5.2205
Li Si Se
2 1 1
Direct
0.0000 0.0000 0.0000 Li
0.7277 0.2277 0.5000 Li
0.3148 0.8148 0.5000 Si
0.5044 0.5044 0.0000 Se

***

Tl3CdO PBE optimized geometry; SG = No. 221; D(E_F) = 3.3 states/eV/cell; energy relative to the lowest polymorph listed for this composition = 698 meV/atom; E_form (uncorrected) = 585 meV/atom
1.0
5.5985 0.0000 0.0000
0.0000 5.5985 0.0000
0.0000 0.0000 5.5985
Tl Cd O
3 1 1
Direct
0.0000 0.0000 0.5000 Tl
0.0000 0.5000 0.0000 Tl
0.5000 0.0000 0.0000 Tl
0.0000 0.0000 0.0000 Cd
0.5000 0.5000 0.5000 O

***

AlZn3Fe PBE optimized geometry; formation energy from the elements = 0.95 eV/atom; SG = No. 221; D(E_F) = 3.4 states/eV/cell; energy relative to the lowest polymorph listed for this composition = 323 meV/atom
1.0
4.7146 0.0000 0.0000
0.0000 4.7146 0.0000
0.0000 0.0000 4.7146
Al Zn Fe
1 3 1
Direct
0.0000 0.0000 0.0000 Al
0.0000 0.0000 0.5000 Zn
0.0000 0.5000 0.0000 Zn
0.5000 0.0000 0.0000 Zn
0.5000 0.5000 0.5000 Fe

***

HgAs2Br PBE optimized geometry; SG = No. 122; D(E_F) = 3.2 states/eV/cell; energy relative to the lowest polymorph listed for this composition = 600 meV/atom; E_form (uncorrected) = 551 meV/atom
1.0
-2.8339 2.8339 7.5369
2.8339 -2.8339 7.5369
2.8339 2.8339 -7.5369
Hg As Br
2 4 2
Direct
0.0000 0.0000 0.0000 Hg
0.7500 0.2500 0.5000 Hg
0.0976 0.6250 0.9726 As
0.3750 0.3476 0.4726 As
0.6524 0.1250 0.0274 As
0.8750 0.9024 0.5274 As
0.2500 0.7500 0.5000 Br
0.5000 0.5000 0.0000 Br

***

Mg2AsPd6 PBE optimized geometry; formation energy from the elements = -0.40 eV/atom; SG = No. 65; D(E_F) = 2.3 states/eV/cell
1.0
2.8749 -6.7022 0.0000
2.8749 6.7022 0.0000
0.0000 0.0000 3.9684
Mg As Pd
2 1 6
Direct
0.2477 0.7523 0.0000 Mg
0.7523 0.2477 0.0000 Mg
0.0000 0.0000 0.5000 As
0.1088 0.4080 0.5000 Pd
0.2644 0.2644 0.0000 Pd
0.4080 0.1088 0.5000 Pd
0.5920 0.8912 0.5000 Pd
0.7356 0.7356 0.0000 Pd
0.8912 0.5920 0.5000 Pd

***

Tb2PrSm6 PBE optimized geometry; formation energy from the elements = 0.20 eV/atom; SG = No. 12; D(E_F) = 14.2 states/eV/cell; energy relative to the lowest polymorph listed for this composition = 14 meV/atom
1.0
6.5405 -3.7764 0.0000
6.5405 3.7764 0.0000
0.0000 0.0000 6.2080
Tb Pr Sm
2 1 6
Direct
0.1665 0.1665 0.2144 Tb
0.8335 0.8335 0.7856 Tb
0.5000 0.5000 0.0000 Pr
0.1244 0.6870 0.2931 Sm
0.3126 0.3126 0.7073 Sm
0.3130 0.8756 0.7069 Sm
0.6870 0.1244 0.2931 Sm
0.6874 0.6874 0.2927 Sm
0.8756 0.3130 0.7069 Sm

***

UCdSb2 PBE optimized geometry; SG = No. 160; D(E_F) = 7.3 states/eV/cell; energy relative to the lowest polymorph listed for this composition = 213 meV/atom; E_form (uncorrected) = 16 meV/atom
1.0
2.2243 1.2842 6.8644
-2.2243 1.2842 6.8644
0.0000 -2.5684 6.8644
U Cd Sb
1 1 2
Direct
0.0000 0.0000 0.0000 U
0.1696 0.1696 0.1696 Cd
0.4136 0.4136 0.4136 Sb
0.5846 0.5846 0.5846 Sb

***

Mg2NiIr PBE optimized geometry; formation energy from the elements = -0.14 eV/atom; SG = No. 119; D(E_F) = 4.9 states/eV/cell
1.0
-1.9584 1.9584 3.8910
1.9584 -1.9584 3.8910
1.9584 1.9584 -3.8910
Mg Ni Ir
2 1 1
Direct
0.0000 0.0000 0.0000 Mg
0.7500 0.2500 0.5000 Mg
0.2500 0.7500 0.5000 Ni
0.5000 0.5000 0.0000 Ir